(1)
Density functional theory data (GGA-PBE) for AlGaBi2O6 after structural relaxation.

Results
As for the crystal system: monoclinic. The volume comes out at 116.1 Å³/f.u. Its uncorrected formation energy is -1.77 eV/atom. The value obtained for the electronic total energy is -0.2279 Ha/atom. The value obtained for the total magnetization is 0.00 μB/cell. The density of states at the Fermi level comes out at 0.00 states/eV/cell.

Cell: 5.4196 5.5522 9.4284 Å, 90.00 125.05 90.00°
Last column: nearest neighbours and their distance in Å.
Space group P2_1/c (No. 14)
Symmetry-distinct sites (fractional):
Al 0.0000 0.0000 0.0000 [2 per cell]  6 O 1.94-1.95
Ga 0.5000 0.0000 0.5000 [2 per cell]  6 O 2.02-2.03
Bi 0.2580 0.0475 0.7499 [4 per cell]  6 O 2.36-2.62
O 0.1662 0.0209 0.2448 [4 per cell]  1 Al 1.94, 1 Ga 2.02
O 0.2417 0.7140 0.0402 [4 per cell]  1 Al 1.95, 1 Ga 2.03
O 0.3267 0.2039 0.0392 [4 per cell]  1 Al 1.95, 1 Ga 2.03

---

(2)
Density functional theory data (GGA-PBE) for AlGa2BiSb after structural relaxation.

Results
As for the crystal system: tetragonal. The volume comes out at 182.1 Å³/f.u. Its uncorrected formation energy is 0.83 eV/atom. The value obtained for the electronic total energy is -0.1002 Ha/atom. The value obtained for the total magnetization is 0.00 μB/cell. The density of states at the Fermi level comes out at 3.15 states/eV/cell.

Cell: 5.5047 5.5047 6.0106 Å, 90.00 90.00 90.00°
Last column: nearest neighbours and their distance in Å.
Space group P4/mmm (No. 123)
Symmetry-distinct sites (fractional):
Al 0.0000 0.0000 0.0000 [1 per cell]  4 Sb 3.89, 8 Ga 4.08
Ga 0.0000 0.5000 0.5000 [2 per cell]  2 Bi 2.75
Bi 0.5000 0.5000 0.5000 [1 per cell]  4 Ga 2.75, 2 Sb 3.01
Sb 0.5000 0.5000 0.0000 [1 per cell]  2 Bi 3.01

---

(3)
Density functional theory data (GGA-PBE) for AlGa2BiSe6 after structural relaxation.

Results
As for the crystal system: monoclinic. The volume comes out at 326.3 Å³/f.u. Its uncorrected formation energy is -0.58 eV/atom. The value obtained for the electronic total energy is -0.1485 Ha/atom. The value obtained for the total magnetization is 0.00 μB/cell.

Cell: 14.8642 13.3524 7.0195 Å, 90.00 110.49 90.00°
Last column: nearest neighbours and their distance in Å.
Space group C2/c (No. 15)
Symmetry-distinct sites (fractional):
Al 0.0000 0.1761 0.2500 [4 per cell]  4 Se 2.42-2.44
Ga 0.0633 0.4099 0.6092 [8 per cell]  4 Se 2.36-2.53
Bi 0.0000 0.0856 0.7500 [4 per cell]  4 Se 2.82-2.96
Se 0.1144 0.4322 0.9902 [8 per cell]  3 Ga 2.48-2.53
Se 0.1152 0.2486 0.5538 [8 per cell]  1 Ga 2.36, 1 Al 2.42
Se 0.1175 0.0667 0.1863 [8 per cell]  1 Al 2.44

---

(4)
Density functional theory data (GGA-PBE) for Al2GaBiSe6 after structural relaxation.

Results
As for the crystal system: monoclinic. The volume comes out at 323.4 Å³/f.u. Its uncorrected formation energy is -0.65 eV/atom. The value obtained for the electronic total energy is -0.1536 Ha/atom. The value obtained for the total magnetization is 0.00 μB/cell. The density of states at the Fermi level comes out at 0.00 states/eV/cell.

Cell: 14.7859 13.2607 7.0287 Å, 90.00 110.19 90.00°
Last column: nearest neighbours and their distance in Å.
Space group C2/c (No. 15)
Symmetry-distinct sites (fractional):
Al 0.0618 0.0878 0.1129 [8 per cell]  4 Se 2.34-2.49
Ga 0.0000 0.3210 0.7500 [4 per cell]  4 Se 2.45-2.47
Bi 0.0000 0.4137 0.2500 [4 per cell]  4 Se 2.82-2.95
Se 0.1138 0.0668 0.4879 [8 per cell]  3 Al 2.46-2.49
Se 0.1149 0.2480 0.0594 [8 per cell]  1 Al 2.34, 1 Ga 2.45
Se 0.1184 0.4338 0.6831 [8 per cell]  1 Ga 2.47

---

(5)
Density functional theory data (GGA-PBE) for AlGaBi2Se after structural relaxation.

Results
As for the crystal system: tetragonal. The volume comes out at 146.4 Å³/f.u. Its uncorrected formation energy is 0.51 eV/atom. The value obtained for the electronic total energy is -0.1138 Ha/atom. The value obtained for the total magnetization is 0.00 μB/cell. The density of states at the Fermi level comes out at 3.81 states/eV/cell.

Cell: 5.5770 5.5770 4.7076 Å, 90.00 90.00 90.00°
Last column: nearest neighbours and their distance in Å.
Space group P4/mmm (No. 123)
Symmetry-distinct sites (fractional):
Al 0.0000 0.0000 0.0000 [1 per cell]  2 Ga 2.35
Ga 0.0000 0.0000 0.5000 [1 per cell]  2 Al 2.35
Bi 0.0000 0.5000 0.5000 [2 per cell]  2 Ga 2.79
Se 0.5000 0.5000 0.0000 [1 per cell]  8 Bi 3.65, 4 Al 3.94

---

(6)
Density functional theory data (GGA-PBE) for AlGaBiTe after structural relaxation.

Results
As for the crystal system: trigonal. The volume comes out at 125.3 Å³/f.u. Its uncorrected formation energy is -0.07 eV/atom. The value obtained for the electronic total energy is -0.1291 Ha/atom. The value obtained for the total magnetization is 0.00 μB/cell. The density of states at the Fermi level comes out at 1.67 states/eV/cell.

Cell: 4.1461 4.1461 8.4165 Å, 90.00 90.00 120.00°
Last column: nearest neighbours and their distance in Å.
Space group P3m1 (No. 156)
Symmetry-distinct sites (fractional):
Al 0.0000 0.0000 0.0000 [1 per cell]  1 Ga 2.51, 3 Te 2.71
Ga 0.0000 0.0000 0.7024 [1 per cell]  1 Al 2.51
Bi 0.3333 0.6667 0.5277 [1 per cell]  3 Ga 2.81
Te 0.6667 0.3333 0.1510 [1 per cell]  3 Al 2.71

---

(7)
Density functional theory data (GGA-PBE) for AlTlGaBi after structural relaxation.

Results
As for the crystal system: cubic. The formation energy comes out at 0.210 eV per atom. The volume comes out at 103.5 Å³/f.u. The value obtained for the electronic total energy is -0.1119 Ha/atom. The value obtained for the total magnetization is 0.00 μB/cell. The density of states at the Fermi level comes out at 17.86 states/eV/cell.

Cell: 7.4526 7.4526 7.4526 Å, 90.00 90.00 90.00°
Last column: nearest neighbours and their distance in Å.
Space group F-43m (No. 216)
Symmetry-distinct sites (fractional):
Al 0.0000 0.0000 0.0000 [4 per cell]  4 Tl 3.23, 4 Bi 3.23
Tl 0.2500 0.2500 0.7500 [4 per cell]  4 Al 3.23, 4 Ga 3.23
Ga 0.0000 0.0000 0.5000 [4 per cell]  4 Tl 3.23, 4 Bi 3.23
Bi 0.2500 0.2500 0.2500 [4 per cell]  4 Al 3.23, 4 Ga 3.23

---

(8)
Density functional theory data (GGA-PBE) for GdAlBi2 after structural relaxation.

Results
As for the crystal system: tetragonal. The formation energy comes out at -0.313 eV per atom. The volume comes out at 109.2 Å³/f.u. Its energy above the most stable polymorph in this dataset is 0.0000 eV per atom. The value obtained for the electronic total energy is -0.2466 Ha/atom. The value obtained for the total magnetization is 6.92 μB/cell. The density of states at the Fermi level comes out at 2.35 states/eV/cell.

Cell: 4.9637 4.9637 4.4318 Å, 90.00 90.00 90.00°
Last column: nearest neighbours and their distance in Å.
Space group P4/mmm (No. 123)
Symmetry-distinct sites (fractional):
Gd 0.0000 0.0000 0.0000 [1 per cell]  8 Bi 3.33, 4 Al 3.51
Al 0.5000 0.5000 0.0000 [1 per cell]  8 Bi 3.33, 4 Gd 3.51
Bi 0.0000 0.5000 0.5000 [2 per cell]  4 Gd 3.33, 4 Al 3.33, 4 Bi 3.51